Entry 1:
ReSi3W: relaxed, PBE.

The value obtained for the total DFT energy (no corrections) is -6.7914 eV/atom. As for the size of the total moment: 4.94 μB/cell. The calculation puts the formation energy (no corrections) at 1.5427 eV per atom. As for the density of states at the Fermi level: 0.5637 states/eV/atom.

extended XYZ file:
```
5
Lattice="-2.047 0.108 4.256 -4.198 -0.837 -1.998 0.708 -4.648 0.459" Properties=species:S:1:pos:R:3 pbc="T T T"
W 0.000 0.000 0.000
Si 0.354 -2.324 0.229
Si -2.099 -0.418 -0.999
Si -1.023 0.054 2.128
Re -2.768 -2.688 1.359
```

Entry 2:
Re2SiW: relaxed, PBE.

The value obtained for the total DFT energy (no corrections) is -10.7809 eV/atom. As for the size of the total moment: 0.00 μB/cell. The calculation puts the formation energy (no corrections) at 0.0372 eV per atom. As for the density of states at the Fermi level: 0.7582 states/eV/atom.

extended XYZ file:
```
4
Lattice="-0.960 1.832 -1.947 -2.804 -2.675 -1.134 -3.273 1.963 3.461" Properties=species:S:1:pos:R:3 pbc="T T T"
Re -2.734 0.090 -0.639
Re -3.270 1.962 3.458
Si -1.617 0.970 1.710
W -4.324 1.044 1.042
```

Entry 3:
YRe3Si: relaxed, PBE.

The value obtained for the total DFT energy (no corrections) is -9.1656 eV/atom. As for the size of the total moment: 1.41 μB/cell. The calculation puts the formation energy (no corrections) at 0.6807 eV per atom. As for the density of states at the Fermi level: 1.1473 states/eV/atom.

extended XYZ file:
```
5
Lattice="4.528 0.000 0.000 0.000 4.528 0.000 0.000 0.000 4.528" Properties=species:S:1:pos:R:3 pbc="T T T"
Re 0.000 0.000 2.264
Re 2.264 0.000 0.000
Re 0.000 2.264 0.000
Y 2.264 2.264 2.264
Si 0.000 0.000 0.000
```

Entry 4:
YReSi2: relaxed, PBE.

The value obtained for the total DFT energy (no corrections) is -7.8145 eV/atom. As for the size of the total moment: 0.00 μB/cell. The calculation puts the formation energy (no corrections) at -0.3750 eV per atom. As for the density of states at the Fermi level: 0.1730 states/eV/atom.

extended XYZ file:
```
4
Lattice="4.318 -0.002 -0.002 2.985 3.120 -0.002 2.885 1.232 5.534" Properties=species:S:1:pos:R:3 pbc="T T T"
Si 7.508 3.206 0.902
Si 7.416 3.166 4.612
Y 5.279 2.254 2.650
Re 2.380 1.016 0.126
```